A relaxed structure of SiAsIr, computed with GGA-PBE.

The structure in CIF format:
```
data_SiAsIr
_chemical_formula_sum 'Si2 As2 Ir2'
_cell_length_a 2.8869
_cell_length_b 2.8869
_cell_length_c 11.4305
_cell_angle_alpha 90.00
_cell_angle_beta 90.00
_cell_angle_gamma 90.00
_symmetry_space_group_name_H-M 'I 4 m m'
_symmetry_Int_Tables_number 107
_symmetry_space_group_name_Hall 'I 4 -2'
loop_
_atom_site_label
_atom_site_type_symbol
_atom_site_fract_x
_atom_site_fract_y
_atom_site_fract_z
Si1 Si 0.0000 0.0000 0.0000
As1 As 0.0000 0.0000 0.2971
Ir1 Ir 0.0000 0.0000 0.6273
```

## Properties
Energy relative to the elements, uncorrected ... 26.8 meV/atom
Relative energy among the computed polymorphs ... 412 meV/atom
M_tot ... 0.00 Bohr magnetons per cell
E_tot ... -6.28 eV per atom
Calculated density ... 10.3 g/cm3

---

A relaxed structure of SiAsIr2, computed with GGA-PBE.

The structure in CIF format:
```
data_SiAsIr2
_chemical_formula_sum 'Si2 As2 Ir4'
_cell_length_a 5.8506
_cell_length_b 6.8888
_cell_length_c 2.8896
_cell_angle_alpha 90.00
_cell_angle_beta 90.00
_cell_angle_gamma 90.00
_symmetry_space_group_name_H-M 'C m m m'
_symmetry_Int_Tables_number 65
_symmetry_space_group_name_Hall '-C 2 2'
loop_
_atom_site_label
_atom_site_type_symbol
_atom_site_fract_x
_atom_site_fract_y
_atom_site_fract_z
Si1 Si 0.0000 0.0000 0.0000
As1 As 0.0000 0.5000 0.0000
Ir1 Ir 0.2500 0.2500 0.5000
```

## Properties
Energy relative to the elements, uncorrected ... 7.8 meV/atom
Relative energy among the computed polymorphs ... 242 meV/atom
M_tot ... 0.00 Bohr magnetons per cell
E_tot ... -6.94 eV per atom
Calculated density ... 13.9 g/cm3

---

A relaxed structure of SiAsIr2, computed with GGA-PBE.

The structure in CIF format:
```
data_SiAsIr2
_chemical_formula_sum 'Si2 As2 Ir4'
_cell_length_a 7.9806
_cell_length_b 2.9460
_cell_length_c 5.1179
_cell_angle_alpha 90.00
_cell_angle_beta 102.92
_cell_angle_gamma 90.00
_symmetry_space_group_name_H-M 'C 1 2/m 1'
_symmetry_Int_Tables_number 12
loop_
_symmetry_equiv_pos_as_xyz
'x,y,z'
'-x,-y,-z'
'-x,y,-z'
'x,-y,z'
'x+1/2,y+1/2,z'
'-x+1/2,-y+1/2,-z'
'-x+1/2,y+1/2,-z'
'x+1/2,-y+1/2,z'
loop_
_atom_site_label
_atom_site_type_symbol
_atom_site_fract_x
_atom_site_fract_y
_atom_site_fract_z
Si1 Si 0.0000 0.0000 0.0000
As1 As 0.0000 0.5000 0.5000
Ir1 Ir 0.2422 0.5000 0.2393
```

## Properties
Energy relative to the elements, uncorrected ... -139.5 meV/atom
Relative energy among the computed polymorphs ... 95 meV/atom
M_tot ... 0.00 Bohr magnetons per cell
E_tot ... -7.09 eV per atom
Calculated density ... 13.8 g/cm3

---

A relaxed structure of SiAs2Ir, computed with GGA-PBE.

The structure in CIF format:
```
data_SiAs2Ir
_chemical_formula_sum 'Si1 As2 Ir1'
_cell_length_a 2.8497
_cell_length_b 3.5836
_cell_length_c 7.0458
_cell_angle_alpha 90.00
_cell_angle_beta 92.02
_cell_angle_gamma 90.00
_symmetry_space_group_name_H-M 'P 1 m 1'
_symmetry_Int_Tables_number 6
loop_
_symmetry_equiv_pos_as_xyz
'x,y,z'
'x,-y,z'
loop_
_atom_site_label
_atom_site_type_symbol
_atom_site_fract_x
_atom_site_fract_y
_atom_site_fract_z
Si1 Si 0.0000 0.0000 0.0000
As1 As 0.5432 0.0000 0.4018
As2 As 0.7087 0.5000 0.7597
Ir1 Ir 0.5287 0.5000 0.1357
```

## Properties
Energy relative to the elements, uncorrected ... -24.9 meV/atom
M_tot ... 0.00 Bohr magnetons per cell
E_tot ... -5.92 eV per atom
Calculated density ... 8.5 g/cm3

---

A relaxed structure of SiAsIr2, computed with GGA-PBE.

The structure in CIF format:
```
data_SiAsIr2
_chemical_formula_sum 'Si4 As4 Ir8'
_cell_length_a 5.4093
_cell_length_b 5.4093
_cell_length_c 10.9400
_cell_angle_alpha 90.00
_cell_angle_beta 90.00
_cell_angle_gamma 90.00
_symmetry_space_group_name_H-M 'I -4 2 d'
_symmetry_Int_Tables_number 122
_symmetry_space_group_name_Hall 'I -4 2bw'
loop_
_atom_site_label
_atom_site_type_symbol
_atom_site_fract_x
_atom_site_fract_y
_atom_site_fract_z
Si1 Si 0.0000 0.0000 0.0000
As1 As 0.0000 0.0000 0.5000
Ir1 Ir 0.2386 0.2500 0.1250
```

## Properties
Energy relative to the elements, uncorrected ... -102.1 meV/atom
Relative energy among the computed polymorphs ... 132 meV/atom
M_tot ... 0.00 Bohr magnetons per cell
E_tot ... -7.05 eV per atom
Calculated density ... 10.1 g/cm3

---

A relaxed structure of SiAs3Ir, computed with GGA-PBE.

The structure in CIF format:
```
data_SiAs3Ir
_chemical_formula_sum 'Si1 As3 Ir1'
_cell_length_a 4.5913
_cell_length_b 4.5913
_cell_length_c 4.5913
_cell_angle_alpha 90.00
_cell_angle_beta 90.00
_cell_angle_gamma 90.00
_symmetry_space_group_name_H-M 'P m -3 m'
_symmetry_Int_Tables_number 221
_symmetry_space_group_name_Hall '-P 4 2 3'
loop_
_atom_site_label
_atom_site_type_symbol
_atom_site_fract_x
_atom_site_fract_y
_atom_site_fract_z
Si1 Si 0.0000 0.0000 0.0000
As1 As 0.0000 0.0000 0.5000
Ir1 Ir 0.5000 0.5000 0.5000
```

## Properties
Energy relative to the elements, uncorrected ... 1051.1 meV/atom
Relative energy among the computed polymorphs ... 184 meV/atom
M_tot ... 0.00 Bohr magnetons per cell
E_tot ... -4.60 eV per atom
Calculated density ... 7.6 g/cm3

---

A relaxed structure of SiAs2Ir, computed with GGA-PBE.

The structure in CIF format:
```
data_SiAs2Ir
_chemical_formula_sum 'Si2 As4 Ir2'
_cell_length_a 4.2171
_cell_length_b 4.2171
_cell_length_c 7.2430
_cell_angle_alpha 90.00
_cell_angle_beta 90.00
_cell_angle_gamma 90.00
_symmetry_space_group_name_H-M 'I -4 m 2'
_symmetry_Int_Tables_number 119
_symmetry_space_group_name_Hall 'I -4 -2'
loop_
_atom_site_label
_atom_site_type_symbol
_atom_site_fract_x
_atom_site_fract_y
_atom_site_fract_z
Si1 Si 0.0000 0.0000 0.0000
As1 As 0.0000 0.0000 0.5000
As2 As 0.0000 0.5000 0.7500
Ir1 Ir 0.0000 0.5000 0.2500
```

## Properties
Energy relative to the elements, uncorrected ... 334.8 meV/atom
M_tot ... 0.00 Bohr magnetons per cell
E_tot ... -5.56 eV per atom
Calculated density ... 9.5 g/cm3

---

A relaxed structure of SiAs2Ir, computed with GGA-PBE.

The structure in CIF format:
```
data_SiAs2Ir
_chemical_formula_sum 'Si2 As4 Ir2'
_cell_length_a 2.9009
_cell_length_b 4.4009
_cell_length_c 10.9728
_cell_angle_alpha 90.00
_cell_angle_beta 90.00
_cell_angle_gamma 90.00
_symmetry_space_group_name_H-M 'I m m 2'
_symmetry_Int_Tables_number 44
loop_
_symmetry_equiv_pos_as_xyz
'x,y,z'
'-x,-y,z'
'-x,y,z'
'x,-y,z'
'x+1/2,y+1/2,z+1/2'
'-x+1/2,-y+1/2,z+1/2'
'-x+1/2,y+1/2,z+1/2'
'x+1/2,-y+1/2,z+1/2'
loop_
_atom_site_label
_atom_site_type_symbol
_atom_site_fract_x
_atom_site_fract_y
_atom_site_fract_z
Si1 Si 0.0000 0.0000 0.0000
As1 As 0.0000 0.0000 0.3979
As2 As 0.0000 0.5000 0.2230
Ir1 Ir 0.0000 0.5000 0.6797
```

## Properties
Energy relative to the elements, uncorrected ... 223.5 meV/atom
M_tot ... 0.00 Bohr magnetons per cell
E_tot ... -5.67 eV per atom
Calculated density ... 8.8 g/cm3

---

A relaxed structure of SiAsIr2, computed with GGA-PBE.

The structure in CIF format:
```
data_SiAsIr2
_chemical_formula_sum 'Si1 As1 Ir2'
_cell_length_a 3.0163
_cell_length_b 3.8026
_cell_length_c 5.1698
_cell_angle_alpha 90.00
_cell_angle_beta 90.00
_cell_angle_gamma 90.00
_symmetry_space_group_name_H-M 'P m m 2'
_symmetry_Int_Tables_number 25
loop_
_symmetry_equiv_pos_as_xyz
'x,y,z'
'-x,-y,z'
'-x,y,z'
'x,-y,z'
loop_
_atom_site_label
_atom_site_type_symbol
_atom_site_fract_x
_atom_site_fract_y
_atom_site_fract_z
Si1 Si 0.0000 0.0000 0.0000
As1 As 0.5000 0.5000 0.3499
Ir1 Ir 0.0000 0.0000 0.4955
Ir2 Ir 0.5000 0.5000 0.8591
```

## Properties
Energy relative to the elements, uncorrected ... -216.3 meV/atom
Relative energy among the computed polymorphs ... 18 meV/atom
M_tot ... 0.00 Bohr magnetons per cell
E_tot ... -7.16 eV per atom
Calculated density ... 13.7 g/cm3

---

A relaxed structure of SiAsIr2, computed with GGA-PBE.

The structure in CIF format:
```
data_SiAsIr2
_chemical_formula_sum 'Si1 As1 Ir2'
_cell_length_a 4.1418
_cell_length_b 4.1418
_cell_length_c 3.4080
_cell_angle_alpha 90.00
_cell_angle_beta 90.00
_cell_angle_gamma 90.00
_symmetry_space_group_name_H-M 'P 4/m m m'
_symmetry_Int_Tables_number 123
_symmetry_space_group_name_Hall '-P 4 2'
loop_
_atom_site_label
_atom_site_type_symbol
_atom_site_fract_x
_atom_site_fract_y
_atom_site_fract_z
Si1 Si 0.0000 0.0000 0.0000
As1 As 0.5000 0.5000 0.0000
Ir1 Ir 0.0000 0.5000 0.5000
```

## Properties
Energy relative to the elements, uncorrected ... 28.0 meV/atom
Relative energy among the computed polymorphs ... 262 meV/atom
M_tot ... 0.00 Bohr magnetons per cell
E_tot ... -6.92 eV per atom
Calculated density ... 13.8 g/cm3

---

A relaxed structure of SiAsIr2, computed with GGA-PBE.

The structure in CIF format:
```
data_SiAsIr2
_chemical_formula_sum 'Si2 As2 Ir4'
_cell_length_a 7.6810
_cell_length_b 3.6027
_cell_length_c 4.8066
_cell_angle_alpha 90.00
_cell_angle_beta 105.99
_cell_angle_gamma 90.00
_symmetry_space_group_name_H-M 'C 1 m 1'
_symmetry_Int_Tables_number 8
loop_
_symmetry_equiv_pos_as_xyz
'x,y,z'
'x,-y,z'
'x+1/2,y+1/2,z'
'x+1/2,-y+1/2,z'
loop_
_atom_site_label
_atom_site_type_symbol
_atom_site_fract_x
_atom_site_fract_y
_atom_site_fract_z
Si1 Si 0.0000 0.0000 0.0000
As1 As 0.2027 0.0000 0.5493
Ir1 Ir 0.1872 0.5000 0.9147
Ir2 Ir 0.4547 0.0000 0.3105
```

## Properties
Energy relative to the elements, uncorrected ... -234.2 meV/atom
Relative energy among the computed polymorphs ... 0 meV/atom
M_tot ... 0.00 Bohr magnetons per cell
E_tot ... -7.18 eV per atom
Calculated density ... 12.7 g/cm3

---

A relaxed structure of SiAs4Ir, computed with GGA-PBE.

The structure in CIF format:
```
data_SiAs4Ir
_chemical_formula_sum 'Si4 As16 Ir4'
_cell_length_a 7.6605
_cell_length_b 7.6605
_cell_length_c 7.6605
_cell_angle_alpha 90.00
_cell_angle_beta 90.00
_cell_angle_gamma 90.00
_symmetry_space_group_name_H-M 'F -4 3 m'
_symmetry_Int_Tables_number 216
_symmetry_space_group_name_Hall 'F -4 2 3'
loop_
_atom_site_label
_atom_site_type_symbol
_atom_site_fract_x
_atom_site_fract_y
_atom_site_fract_z
Si1 Si 0.0000 0.0000 0.0000
As1 As 0.1267 0.1267 0.6267
Ir1 Ir 0.2500 0.2500 0.2500
```

## Properties
Energy relative to the elements, uncorrected ... 935.9 meV/atom
M_tot ... 0.00 Bohr magnetons per cell
E_tot ... -4.54 eV per atom
Calculated density ... 7.7 g/cm3

---

Q: Among the records above, which one has the highest E_tot?
A: SiAs4Ir